Entry A
Tl2SnH: optimized geometry, GGA-PBE.

* total moment: 0.00 μB/cell
* symmetry: No. 225

Lattice parameters (Å, degrees): 5.151 5.151 5.151 60.00 60.00 60.00
Positions (direct):
H  0.000  0.000  0.000
Tl  0.250  0.250  0.250
Tl  0.750  0.750  0.750
Sn  0.500  0.500  0.500

---

Entry B
Tl2SnH: optimized geometry, GGA-PBE.

* total moment: 0.00 μB/cell
* symmetry: No. 122

Lattice parameters (Å, degrees): 5.784 5.784 7.647 67.78 67.78 90.00
Positions (direct):
H  0.500  0.500  0.000
H  0.250  0.750  0.500
Tl  0.504  0.125  0.250
Tl  0.246  0.625  0.250
Tl  0.375  0.496  0.750
Tl  0.875  0.754  0.750
Sn  0.000  0.000  0.000
Sn  0.750  0.250  0.500

---

On energetic grounds, entry B is preferred over the next structure by 45 meV per atom.

---

Entry A
TlSnH2: optimized geometry, GGA-PBE.

* total moment: 0.00 μB/cell
* symmetry: No. 225

Lattice parameters (Å, degrees): 4.508 4.508 4.508 60.00 60.00 60.00
Positions (direct):
H  0.250  0.250  0.250
H  0.750  0.750  0.750
Tl  0.500  0.500  0.500
Sn  0.000  0.000  0.000

---

Entry B
TlSnH2: optimized geometry, GGA-PBE.

* total moment: 0.00 μB/cell
* symmetry: No. 122

Lattice parameters (Å, degrees): 4.819 4.819 7.219 70.50 70.50 90.00
Positions (direct):
H  0.428  0.125  0.250
H  0.322  0.625  0.250
H  0.375  0.572  0.750
H  0.875  0.678  0.750
Tl  0.000  0.000  0.000
Tl  0.750  0.250  0.500
Sn  0.500  0.500  0.000
Sn  0.250  0.750  0.500

---

On energetic grounds, entry B is preferred over the next structure by 262 meV per atom.